Entry w
The following is a DFT calculation (PBE-GGA) of a relaxed structure of BeCuW2.

## Properties
Volume: 52.65 Å³/cell
Space-group type: Cm
Total magnetization: 0.00 μB/f.u.

a = 4.865 Å, b = 4.865 Å, c = 4.506 Å
α = 71.07°, β = 71.07°, γ = 31.62°
Fractional coordinates of all 4 atoms:
1 W 0.015 0.015 0.968
2 Be 0.479 0.479 0.482
3 Cu 0.780 0.780 0.754
4 W 0.226 0.226 0.295

---

Entry x
The following is a DFT calculation (PBE-GGA) of a relaxed structure of BeCuW2.

## Properties
Volume: 55.85 Å³/cell
Space-group type: R3m
Total magnetization: 0.00 μB/f.u.

a = 8.790 Å, b = 8.790 Å, c = 8.790 Å
α = 17.87°, β = 17.87°, γ = 17.87°
Fractional coordinates of all 4 atoms:
1 Be 0.495 0.495 0.495
2 W 0.004 0.004 0.004
3 W 0.242 0.242 0.242
4 Cu 0.759 0.759 0.759

---

Which one is most stable, and which one is least stable? entry w is the most stable of them, while entry x is the least stable.

---

Entry w
The following is a DFT calculation (PBE-GGA) of a relaxed structure of Be3CuW.

## Properties
Volume: 57.28 Å³/cell
Space-group type: Pm-3m
Total magnetization: 0.00 μB/f.u.

a = 3.855 Å, b = 3.855 Å, c = 3.855 Å
α = 90.00°, β = 90.00°, γ = 90.00°
Fractional coordinates of all 5 atoms:
1 Be 0.000 0.000 0.500
2 W 0.500 0.500 0.500
3 Be 0.500 0.000 0.000
4 Cu 0.000 0.000 0.000
5 Be 0.000 0.500 0.000

---

Entry x
The following is a DFT calculation (PBE-GGA) of a relaxed structure of Be3CuW.

## Properties
Volume: 79.67 Å³/cell
Space-group type: Pm-3m
Total magnetization: 0.00 μB/f.u.

a = 4.303 Å, b = 4.303 Å, c = 4.303 Å
α = 90.00°, β = 90.00°, γ = 90.00°
Fractional coordinates of all 5 atoms:
1 Cu 0.500 0.500 0.500
2 W 0.000 0.000 0.000
3 Be 0.000 0.500 0.000
4 Be 0.500 0.000 0.000
5 Be 0.000 0.000 0.500

---

Which one is most stable, and which one is least stable? entry w is the most stable of them, while entry x is the least stable.

---

Entry w
The following is a DFT calculation (PBE-GGA) of a relaxed structure of Be2Cu2W.

## Properties
Volume: 54.98 Å³/cell
Space-group type: I4/mmm
Total magnetization: 0.00 μB/f.u.

a = 3.360 Å, b = 3.360 Å, c = 5.419 Å
α = 71.94°, β = 71.94°, γ = 90.00°
Fractional coordinates of all 5 atoms:
1 W 0.000 0.000 0.000
2 Be 0.599 0.599 0.802
3 Cu 0.750 0.250 0.500
4 Cu 0.250 0.750 0.500
5 Be 0.401 0.401 0.198

---

Entry x
The following is a DFT calculation (PBE-GGA) of a relaxed structure of Be2Cu2W.

## Properties
Volume: 111.81 Å³/cell
Space-group type: P4/mbm
Total magnetization: 0.00 μB/f.u.

a = 6.603 Å, b = 6.603 Å, c = 2.565 Å
α = 90.00°, β = 90.00°, γ = 90.00°
Fractional coordinates of all 10 atoms:
1 W 0.500 0.500 0.000
2 Be 0.133 0.367 0.000
3 Cu 0.338 0.162 0.500
4 Be 0.367 0.867 0.000
5 Cu 0.838 0.338 0.500
6 Cu 0.662 0.838 0.500
7 W 0.000 0.000 0.000
8 Be 0.633 0.133 0.000
9 Be 0.867 0.633 0.000
10 Cu 0.162 0.662 0.500

---

Which one is most stable, and which one is least stable? entry x is the most stable of them, while entry w is the least stable.

---

Entry w
The following is a DFT calculation (PBE-GGA) of a relaxed structure of YBe2Cu2.

## Properties
Volume: 137.37 Å³/cell
Space-group type: P4/mbm
Total magnetization: 0.00 μB/f.u.

a = 7.177 Å, b = 7.177 Å, c = 2.667 Å
α = 90.00°, β = 90.00°, γ = 90.00°
Fractional coordinates of all 10 atoms:
1 Y 0.000 0.000 0.000
2 Be 0.161 0.661 0.500
3 Y 0.500 0.500 0.000
4 Cu 0.876 0.624 0.000
5 Be 0.339 0.161 0.500
6 Cu 0.124 0.376 0.000
7 Cu 0.624 0.124 0.000
8 Cu 0.376 0.876 0.000
9 Be 0.661 0.839 0.500
10 Be 0.839 0.339 0.500

---

Entry x
The following is a DFT calculation (PBE-GGA) of a relaxed structure of YBe2Cu2.

## Properties
Volume: 71.85 Å³/cell
Space-group type: I4/mmm
Total magnetization: 0.00 μB/f.u.

a = 3.993 Å, b = 3.993 Å, c = 5.318 Å
α = 67.95°, β = 67.95°, γ = 90.00°
Fractional coordinates of all 5 atoms:
1 Y 0.000 0.000 0.000
2 Be 0.750 0.250 0.500
3 Be 0.250 0.750 0.500
4 Cu 0.636 0.636 0.728
5 Cu 0.364 0.364 0.272

---

Which one is most stable, and which one is least stable? entry x is the most stable of them, while entry w is the least stable.

---

Entry w
The following is a DFT calculation (PBE-GGA) of a relaxed structure of YBe3Cu.

## Properties
Volume: 71.02 Å³/cell
Space-group type: Pm-3m
Total magnetization: 0.00 μB/f.u.

a = 4.141 Å, b = 4.141 Å, c = 4.141 Å
α = 90.00°, β = 90.00°, γ = 90.00°
Fractional coordinates of all 5 atoms:
1 Be 0.000 0.000 0.500
2 Cu 0.000 0.000 0.000
3 Be 0.000 0.500 0.000
4 Y 0.500 0.500 0.500
5 Be 0.500 0.000 0.000

---

Entry x
The following is a DFT calculation (PBE-GGA) of a relaxed structure of YBe3Cu.

## Properties
Volume: 125.70 Å³/cell
Space-group type: Pm-3m
Total magnetization: 0.00 μB/f.u.

a = 5.009 Å, b = 5.009 Å, c = 5.009 Å
α = 90.00°, β = 90.00°, γ = 90.00°
Fractional coordinates of all 5 atoms:
1 Be 0.500 0.000 0.000
2 Be 0.000 0.500 0.000
3 Y 0.000 0.000 0.000
4 Be 0.000 0.000 0.500
5 Cu 0.500 0.500 0.500

---

Which one is most stable, and which one is least stable? entry w is the most stable of them, while entry x is the least stable.

---

Entry w
The following is a DFT calculation (PBE-GGA) of a relaxed structure of BeZn2Cu6.

## Properties
Volume: 221.17 Å³/cell
Space-group type: C2/c
Total magnetization: 0.00 μB/f.u.

a = 8.342 Å, b = 8.342 Å, c = 11.571 Å
α = 34.71°, β = 34.71°, γ = 31.99°
Fractional coordinates of all 18 atoms:
1 Cu 0.271 0.692 0.170
2 Zn 0.282 0.209 0.823
3 Zn 0.209 0.282 0.323
4 Be 0.165 0.835 0.750
5 Zn 0.791 0.718 0.677
6 Cu 0.729 0.308 0.830
7 Cu 0.766 0.704 0.954
8 Cu 0.764 0.223 0.066
9 Cu 0.692 0.271 0.670
10 Cu 0.777 0.236 0.434
11 Cu 0.234 0.296 0.046
12 Cu 0.296 0.234 0.546
13 Cu 0.308 0.729 0.330
14 Cu 0.236 0.777 0.934
15 Zn 0.718 0.791 0.177
16 Be 0.835 0.165 0.250
17 Cu 0.223 0.764 0.566
18 Cu 0.704 0.766 0.454

---

Entry x
The following is a DFT calculation (PBE-GGA) of a relaxed structure of BeZn2Cu6.

## Properties
Volume: 111.09 Å³/cell
Space-group type: C2/m
Total magnetization: 0.00 μB/f.u.

a = 2.517 Å, b = 6.996 Å, c = 7.213 Å
α = 119.01°, β = 90.08°, γ = 90.00°
Fractional coordinates of all 9 atoms:
1 Cu 0.500 0.694 0.000
2 Zn 0.500 0.320 0.639
3 Cu 0.998 0.016 0.682
4 Be 0.000 0.000 0.000
5 Cu 0.002 0.334 0.318
6 Cu 0.500 0.306 0.000
7 Cu 0.002 0.984 0.318
8 Cu 0.998 0.666 0.682
9 Zn 0.500 0.680 0.361

---

Which one is most stable, and which one is least stable? entry w is the most stable of them, while entry x is the least stable.

---

Entry w
The following is a DFT calculation (PBE-GGA) of a relaxed structure of BeZnCu2.

## Properties
Volume: 46.27 Å³/cell
Space-group type: P4/mmm
Total magnetization: 0.00 μB/f.u.

a = 3.249 Å, b = 3.774 Å, c = 3.774 Å
α = 90.00°, β = 90.00°, γ = 90.00°
Fractional coordinates of all 4 atoms:
1 Cu 0.000 0.500 0.500
2 Cu 0.000 0.000 0.000
3 Be 0.500 0.000 0.500
4 Zn 0.500 0.500 0.000

---

Entry x
The following is a DFT calculation (PBE-GGA) of a relaxed structure of BeZnCu2.

## Properties
Volume: 46.29 Å³/cell
Space-group type: F-43m
Total magnetization: 0.00 μB/f.u.

a = 4.029 Å, b = 4.029 Å, c = 4.031 Å
α = 60.01°, β = 60.01°, γ = 60.00°
Fractional coordinates of all 4 atoms:
1 Cu 0.000 0.000 0.000
2 Zn 0.500 0.500 0.500
3 Cu 0.250 0.250 0.250
4 Be 0.750 0.750 0.750

---

Entry y
The following is a DFT calculation (PBE-GGA) of a relaxed structure of BeZnCu2.

## Properties
Volume: 99.22 Å³/cell
Space-group type: I-42d
Total magnetization: 0.00 μB/f.u.

a = 6.397 Å, b = 6.397 Å, c = 5.132 Å
α = 51.45°, β = 51.45°, γ = 90.00°
Fractional coordinates of all 8 atoms:
1 Be 0.250 0.750 0.500
2 Be 0.500 0.500 0.000
3 Zn 0.750 0.250 0.500
4 Cu 0.587 0.125 0.250
5 Cu 0.875 0.837 0.750
6 Cu 0.375 0.413 0.750
7 Zn 0.000 0.000 0.000
8 Cu 0.163 0.625 0.250

---

Entry z
The following is a DFT calculation (PBE-GGA) of a relaxed structure of BeZnCu2.

## Properties
Volume: 46.00 Å³/cell
Space-group type: Immm
Total magnetization: 0.00 μB/f.u.

a = 4.642 Å, b = 4.642 Å, c = 4.642 Å
α = 143.52°, β = 128.43°, γ = 64.82°
Fractional coordinates of all 4 atoms:
1 Cu 0.522 0.522 0.000
2 Be 0.750 0.250 0.500
3 Zn 0.250 0.750 0.500
4 Cu 0.978 0.978 0.000

---

Which one is most stable, and which one is least stable? entry w is the most stable of them, while entry y is the least stable.

---

Entry w
The following is a DFT calculation (PBE-GGA) of a relaxed structure of BeZnCu2.

## Properties
Volume: 45.97 Å³/cell
Space-group type: Imm2
Total magnetization: 0.00 μB/f.u.

a = 4.681 Å, b = 4.681 Å, c = 4.681 Å
α = 143.89°, β = 129.67°, γ = 63.50°
Fractional coordinates of all 4 atoms:
1 Cu 0.982 0.982 0.000
2 Cu 0.247 0.747 0.500
3 Be 0.758 0.258 0.500
4 Zn 0.514 0.514 0.000

---

Entry x
The following is a DFT calculation (PBE-GGA) of a relaxed structure of BeZnCu2.

## Properties
Volume: 46.04 Å³/cell
Space-group type: Cm
Total magnetization: 0.00 μB/f.u.

a = 4.590 Å, b = 4.590 Å, c = 4.119 Å
α = 69.91°, β = 69.91°, γ = 34.67°
Fractional coordinates of all 4 atoms:
1 Zn 0.487 0.487 0.498
2 Cu 0.017 0.017 0.971
3 Be 0.744 0.744 0.773
4 Cu 0.251 0.251 0.258

---

Entry y
The following is a DFT calculation (PBE-GGA) of a relaxed structure of BeZnCu2.

## Properties
Volume: 46.39 Å³/cell
Space-group type: Pmmm
Total magnetization: 0.00 μB/f.u.

a = 2.975 Å, b = 3.987 Å, c = 3.911 Å
α = 90.00°, β = 90.00°, γ = 90.00°
Fractional coordinates of all 4 atoms:
1 Zn 0.500 0.000 0.500
2 Cu 0.000 0.000 0.000
3 Cu 0.500 0.500 0.000
4 Be 0.000 0.500 0.500

---

Entry z
The following is a DFT calculation (PBE-GGA) of a relaxed structure of BeZnCu2.

## Properties
Volume: 46.49 Å³/cell
Space-group type: Pm
Total magnetization: 0.00 μB/f.u.

a = 3.955 Å, b = 2.555 Å, c = 4.655 Å
α = 81.27°, β = 90.00°, γ = 90.00°
Fractional coordinates of all 4 atoms:
1 Cu 0.000 0.018 0.959
2 Be 0.500 0.645 0.787
3 Cu 0.500 0.216 0.269
4 Zn 0.000 0.621 0.485

---

Which one is most stable, and which one is least stable? entry x is the most stable of them, while entry y is the least stable.